DFT (PBE-GGA) results for a relaxed structure of NaCuSnAu.

a b c (Å): 6.740 6.740 6.740
angles (deg): 90.00 90.00 90.00
Space group F-43m (No. 216)
One atom of each set of equivalent atoms:
Na 0.000 0.000 0.000 [4 per cell]
Cu 0.250 0.250 0.750 [4 per cell]
Sn 0.000 0.000 0.500 [4 per cell]
Au 0.250 0.250 0.250 [4 per cell]

Properties
For the size of the total moment, the calculation gives 0.000 μB/atom. The value obtained for the formation energy is -0.3 eV per formula unit. The uncorrected energy comes out at -3.26 eV/atom.